Entry 1:
## Tl5GaI6 (GGA-PBE)

Data for crystalline Tl5GaI6 at its relaxed geometry.

Summary:
Crystal system: monoclinic
Symmetry: C2/m
Formation energy without anion corrections: -0.607 eV per atom

Cell and atoms, written as extended XYZ:
```
12
Lattice="8.5919 0.2339 0.0000 2.6421 8.1954 0.0000 1.3211 4.0977 7.4417" Properties=species:S:1:pos:R:3 pbc="T T T"
Tl 2.6421 8.1954 4.9756
I 8.4829 6.4195 0.0000
I 4.0804 6.2794 2.3889
I 5.4015 10.3771 5.0528
Tl 5.6170 4.2147 4.9157
Ga 0.0000 0.0000 0.0000
Tl 6.9381 8.3124 2.5260
I 2.7511 2.0098 0.0000
Tl 1.3211 4.0977 2.4661
I 7.1536 2.1500 2.3889
Tl 5.6170 4.2147 0.0000
I 8.4747 6.2477 5.0528
```



Entry 2:
## TlGaI3 (GGA-PBE)

Data for crystalline TlGaI3 at its relaxed geometry.

Summary:
Offset from the most stable computed form: 164 meV per atom
Crystal system: cubic
Symmetry: Pm-3m
Formation energy without anion corrections: -0.413 eV per atom

Cell and atoms, written as extended XYZ:
```
5
Lattice="5.8139 0.0000 0.0000 0.0000 5.8139 0.0000 0.0000 0.0000 5.8139" Properties=species:S:1:pos:R:3 pbc="T T T"
I 0.0000 0.0000 2.9070
I 0.0000 2.9070 0.0000
Tl 2.9070 2.9070 2.9070
I 2.9070 0.0000 0.0000
Ga 0.0000 0.0000 0.0000
```



Entry 3:
## TlGa2I (GGA-PBE)

Data for crystalline TlGa2I at its relaxed geometry.

Summary:
Offset from the most stable computed form: 32 meV per atom
Crystal system: cubic
Symmetry: Fm-3m
Formation energy without anion corrections: 0.154 eV per atom

Cell and atoms, written as extended XYZ:
```
4
Lattice="0.0000 3.8488 3.8488 3.8488 0.0000 3.8488 3.8488 3.8488 0.0000" Properties=species:S:1:pos:R:3 pbc="T T T"
Ga 5.7733 5.7733 5.7733
Tl 3.8488 3.8488 3.8488
I 0.0000 0.0000 0.0000
Ga 1.9244 1.9244 1.9244
```



Entry 4:
## TlGaI2 (GGA-PBE)

Data for crystalline TlGaI2 at its relaxed geometry.

Summary:
Offset from the most stable computed form: 85 meV per atom
Crystal system: tetragonal
Symmetry: I-42d
Formation energy without anion corrections: -0.414 eV per atom

Cell and atoms, written as extended XYZ:
```
8
Lattice="7.7443 0.0000 0.0000 0.0000 7.7443 0.0000 3.8721 3.8721 7.5354" Properties=species:S:1:pos:R:3 pbc="T T T"
I 9.6803 9.4878 5.6515
Ga 3.8721 7.7443 3.7677
I 5.6157 1.9361 1.8838
Tl 0.0000 0.0000 0.0000
I 2.1286 5.8082 1.8838
I 5.8082 6.0007 5.6515
Ga 3.8721 3.8721 0.0000
Tl 7.7443 3.8721 3.7677
```



Entry 5:
## TlGaI3 (GGA-PBE)

Data for crystalline TlGaI3 at its relaxed geometry.

Summary:
Offset from the most stable computed form: 425 meV per atom
Crystal system: cubic
Symmetry: Pm-3m
Formation energy without anion corrections: -0.151 eV per atom

Cell and atoms, written as extended XYZ:
```
5
Lattice="-2.2952 2.0326 5.3517 2.2995 -4.9529 2.8673 5.2426 3.0623 1.0853" Properties=species:S:1:pos:R:3 pbc="T T T"
Ga 2.6234 0.0710 4.6522
I 1.1497 -2.4765 1.4337
Tl 0.0000 0.0000 0.0000
I -1.1476 1.0163 2.6759
I 2.6213 1.5311 0.5427
```



Entry 6:
## TlGaI4 (GGA-PBE)

Data for crystalline TlGaI4 at its relaxed geometry.

Summary:
Offset from the most stable computed form: 15 meV per atom
Crystal system: monoclinic
Symmetry: P2_1/m
Formation energy without anion corrections: -0.565 eV per atom

Cell and atoms, written as extended XYZ:
```
12
Lattice="7.1499 -0.9778 0.0000 -4.6442 7.7963 0.0000 0.0000 0.0000 11.4007" Properties=species:S:1:pos:R:3 pbc="T T T"
Ga 5.9888 -0.1570 8.5505
I -2.5861 5.6737 4.9110
I 5.0918 1.1448 10.6113
I 1.4156 0.7352 8.5505
I 2.0666 1.6115 2.8502
I -2.5861 5.6737 0.7894
I 1.0901 6.0833 2.8502
Ga -3.4831 6.9755 2.8502
I 5.0918 1.1448 6.4897
Tl 3.8572 3.8741 8.5505
Tl -1.3515 2.9444 2.8502
I 0.4390 5.2070 8.5505
```



Entry 7:
## TlGaI6 (GGA-PBE)

Data for crystalline TlGaI6 at its relaxed geometry.

Summary:
Crystal system: monoclinic
Symmetry: C2/m
Formation energy without anion corrections: -0.236 eV per atom

Cell and atoms, written as extended XYZ:
```
8
Lattice="-3.6406 -2.4635 4.8962 -1.7305 -3.9733 -4.9512 7.2796 -3.4692 1.9439" Properties=species:S:1:pos:R:3 pbc="T T T"
Tl 0.0000 0.0000 0.0000
I 3.8763 -3.9844 1.3628
Ga 0.9542 -4.9530 0.9445
I 1.8509 -7.1733 -0.4452
I 0.7536 -3.2828 -1.2545
I 0.0575 -2.7326 2.3342
I 1.1548 -6.6231 3.1435
I -1.9678 -5.9215 0.5262
```



Entry 8:
## TmTlGa2I6 (GGA-PBE)

Data for crystalline TmTlGa2I6 at its relaxed geometry.

Summary:
Crystal system: trigonal
Symmetry: R3
Formation energy without anion corrections: -0.808 eV per atom

Cell and atoms, written as extended XYZ:
```
10
Lattice="8.2165 0.0016 0.0007 4.1096 7.1150 0.0004 4.1087 2.3725 7.4603" Properties=species:S:1:pos:R:3 pbc="T T T"
Tl 12.3256 7.1170 4.0621
I 5.8389 4.5940 5.7096
I 6.6261 2.2841 1.7542
I 6.8814 7.3509 1.7536
Ga 8.2180 4.7439 3.4525
Tm 4.1088 2.3720 0.1369
I 9.5377 2.7593 5.7109
I 9.2766 6.8799 5.7095
Ga 4.1083 2.3728 7.3766
I 11.1441 4.5991 1.7539
```



Entry 9:
## TmTl3Ga3I8 (GGA-PBE)

Data for crystalline TmTl3Ga3I8 at its relaxed geometry.

Summary:
Crystal system: triclinic
Symmetry: P-1
Formation energy without anion corrections: -0.618 eV per atom

Cell and atoms, written as extended XYZ:
```
15
Lattice="9.2549 -0.0143 -0.0136 -4.6398 8.0078 -0.0193 -0.0045 -5.2991 8.7047" Properties=species:S:1:pos:R:3 pbc="T T T"
I -2.5211 4.1406 6.1109
Tl 2.3075 3.9968 -0.0165
I -0.0104 2.6767 2.3664
I 7.1317 -1.4461 2.5609
Ga 4.6252 -2.6567 4.3455
I 4.6210 0.0177 6.3053
Tl 0.0000 0.0000 0.0000
I 4.6166 2.8922 2.5509
I -0.0060 -0.1978 6.1208
I 2.1175 -1.4369 2.5684
I 2.4931 4.1313 6.1034
Ga -2.3221 1.3544 4.3427
Tl -2.3199 4.0039 -0.0097
Tm -0.0022 -2.6496 4.3523
Ga 2.3053 1.3472 4.3359
```



Entry 10:
## UTlGaI6 (GGA-PBE)

Data for crystalline UTlGaI6 at its relaxed geometry.

Summary:
Crystal system: trigonal
Symmetry: P-31c
Formation energy without anion corrections: -0.691 eV per atom

Cell and atoms, written as extended XYZ:
```
18
Lattice="-2.7124 6.7883 -3.6789 -3.0423 -7.2961 -2.1175 -10.5017 1.3884 10.3047" Properties=species:S:1:pos:R:3 pbc="T T T"
Ga -10.6987 3.1348 4.5701
U -10.8087 -1.5600 5.0906
I -5.9301 0.4810 1.6707
I -8.4168 2.5690 -1.1449
I -5.0682 0.0152 -2.3490
Tl -5.2509 0.6942 5.1524
I -5.1149 4.2676 -2.9695
I -10.5729 -3.8787 3.1629
I -11.1415 -3.3870 7.4779
I -11.1883 0.8654 6.8574
U -5.4478 2.4406 -0.5822
I -13.7833 -1.6709 4.5545
I -10.3264 0.3996 2.8377
I -7.8397 -1.6883 5.6533
I -5.6836 4.7593 1.3455
I -2.4732 2.5515 -0.0461
Tl 0.0000 0.0000 0.0000
Ga -5.5578 -2.2542 -0.0617
```



Entry 11:
## TlVGa2I (GGA-PBE)

Data for crystalline TlVGa2I at its relaxed geometry.

Summary:
Crystal system: tetragonal
Symmetry: P4/mmm
Formation energy without anion corrections: 0.303 eV per atom

Cell and atoms, written as extended XYZ:
```
5
Lattice="5.1665 0.0000 0.0000 0.0000 5.6108 0.0000 0.0000 0.0000 5.1665" Properties=species:S:1:pos:R:3 pbc="T T T"
Ga 2.5832 0.0000 0.0000
I 2.5832 2.8054 2.5832
Ga 0.0000 0.0000 2.5832
Tl 0.0000 2.8054 0.0000
V 0.0000 0.0000 0.0000
```



Entry 12:
## Tl2GaWI (GGA-PBE)

Data for crystalline Tl2GaWI at its relaxed geometry.

Summary:
Crystal system: tetragonal
Symmetry: P4/mmm
Formation energy without anion corrections: 0.838 eV per atom

Cell and atoms, written as extended XYZ:
```
5
Lattice="5.5438 0.0000 0.0000 0.0000 5.2322 0.0000 0.0000 0.0000 5.5438" Properties=species:S:1:pos:R:3 pbc="T T T"
Tl 0.0000 0.0000 2.7719
Ga 2.7719 2.6161 2.7719
I 0.0000 2.6161 0.0000
Tl 2.7719 0.0000 0.0000
W 0.0000 0.0000 0.0000
```



Number 1: DOS(E_F) 0.000 states/eV per atom. Number 2: DOS(E_F) 0.298 states/eV per atom. Number 3: DOS(E_F) 0.738 states/eV per atom. Number 4: DOS(E_F) 0.000 states/eV per atom. Number 5: DOS(E_F) 0.315 states/eV per atom. Number 6: DOS(E_F) 0.000 states/eV per atom. Number 7: DOS(E_F) 0.280 states/eV per atom. Number 8: DOS(E_F) 0.000 states/eV per atom. Number 9: DOS(E_F) 0.288 states/eV per atom. Number 10: DOS(E_F) 1.186 states/eV per atom. Number 11: DOS(E_F) 0.228 states/eV per atom. Number 12: DOS(E_F) 0.641 states/eV per atom.